Entry 1:
5
Lattice="5.409 0.000 0.000 0.000 5.388 0.000 0.000 0.000 5.409" Properties=species:S:1:pos:R:3 comment="PBE Ge2TeRhBr, optimized geometry" mass_density_g_cm3=4.8 formation_energy_uncorrected_ev_per_atom=1.338 magnetic_moment_mub_per_cell=0.0 pbc="T T T"
Rh 2.705 2.694 2.705
Br 0.000 2.694 0.000
Ge 0.000 0.000 2.705
Te 0.000 0.000 0.000
Ge 2.705 0.000 0.000

---

Entry 2:
5
Lattice="4.776 0.000 0.000 0.000 4.776 0.000 0.000 0.000 5.098" Properties=species:S:1:pos:R:3 comment="PBE BaCdGa2Ni, optimized geometry" mass_density_g_cm3=6.4 formation_energy_ev_per_atom=-0.30 magnetic_moment_mub_per_cell=0.0 pbc="T T T"
Ga 0.000 2.388 0.000
Ba 2.388 2.388 2.549
Ni 0.000 0.000 0.000
Ga 2.388 0.000 0.000
Cd 0.000 0.000 2.549

---

Please write out number 2 again, unchanged.
5
Lattice="4.776 0.000 0.000 0.000 4.776 0.000 0.000 0.000 5.098" Properties=species:S:1:pos:R:3 comment="PBE BaCdGa2Ni, optimized geometry" mass_density_g_cm3=6.4 formation_energy_ev_per_atom=-0.30 magnetic_moment_mub_per_cell=0.0 pbc="T T T"
Ga 0.000 2.388 0.000
Ba 2.388 2.388 2.549
Ni 0.000 0.000 0.000
Ga 2.388 0.000 0.000
Cd 0.000 0.000 2.549